5
Lattice="5.684 0.000 0.000 0.000 5.684 0.000 0.000 0.000 5.393" Properties=species:S:1:pos:R:3 comment="GGA-PBE KNa2SnAu, relaxed" e_form_mev_per_atom=-184.8 crystal_system=tetragonal relative_energy_ev_per_atom=0.0000 pbc="T T T"
K 0.000 0.000 0.000
Na 0.000 2.842 2.697
Na 2.842 0.000 2.697
Sn 2.842 2.842 0.000
Au 2.842 2.842 2.697